[1]
# AlCu3Si

Crystalline AlCu3Si at its relaxed geometry (PBEsol, the Alexandria database).

Computed properties:
**V**: 186.20 Å³/cell
**DOS at the Fermi energy**: 3.56 states/eV per cell
**ΔE_f (raw)**: -96 meV per atom
**VASP energy**: -4.664 eV/atom

abc: 5.7104 5.7104 5.7104
angles: 90.00 90.00 90.00
Closest atoms and distances in Å follow each position.
Fractional positions:
1 Al 0.0000 0.5000 0.5000  8 Cu 2.53
2 Al 0.5000 0.0000 0.5000  8 Cu 2.53
3 Al 0.5000 0.5000 0.0000  8 Cu 2.53
4 Cu 0.5000 0.5000 0.5000  8 Cu 2.63, 6 Al 2.86
5 Cu 0.2337 0.2337 0.2337  3 Si 2.42, 3 Al 2.53, 4 Cu 2.63-2.67
6 Cu 0.7663 0.7663 0.2337  3 Si 2.42, 3 Al 2.53, 4 Cu 2.63-2.67
7 Cu 0.7663 0.2337 0.7663  3 Si 2.42, 3 Al 2.53, 4 Cu 2.63-2.67
8 Cu 0.2337 0.7663 0.7663  3 Si 2.42, 3 Al 2.53, 4 Cu 2.63-2.67
9 Cu 0.2337 0.2337 0.7663  3 Si 2.42, 3 Al 2.53, 4 Cu 2.63-2.67
10 Cu 0.7663 0.7663 0.7663  3 Si 2.42, 3 Al 2.53, 4 Cu 2.63-2.67
11 Cu 0.2337 0.7663 0.2337  3 Si 2.42, 3 Al 2.53, 4 Cu 2.63-2.67
12 Cu 0.7663 0.2337 0.2337  3 Si 2.42, 3 Al 2.53, 4 Cu 2.63-2.67
13 Si 0.5000 0.0000 0.0000  8 Cu 2.42
14 Si 0.0000 0.5000 0.0000  8 Cu 2.42
15 Si 0.0000 0.0000 0.5000  8 Cu 2.42

[2]
# AlCu2Si4

Crystalline AlCu2Si4 at its relaxed geometry (PBEsol, the Alexandria database).

Computed properties:
**V**: 126.97 Å³/cell
**DOS at the Fermi energy**: 2.23 states/eV per cell
**ΔE_f (raw)**: 391 meV per atom
**VASP energy**: -4.716 eV/atom

abc: 3.9945 3.9945 9.1885
angles: 90.00 90.00 120.00
Closest atoms and distances in Å follow each position.
Fractional positions:
1 Al 0.0000 0.0000 0.5000  6 Si 2.43
2 Cu 0.6667 0.3333 0.8299  5 Si 2.25-2.45
3 Cu 0.3333 0.6667 0.1701  5 Si 2.25-2.45
4 Si 0.6667 0.3333 0.0792  4 Cu 2.29-2.45
5 Si 0.3333 0.6667 0.9208  4 Cu 2.29-2.45
6 Si 0.6667 0.3333 0.5847  1 Cu 2.25, 3 Al 2.43
7 Si 0.3333 0.6667 0.4153  1 Cu 2.25, 3 Al 2.43

[3]
# AlCuSi2

Crystalline AlCuSi2 at its relaxed geometry (PBEsol, the Alexandria database).

Computed properties:
**V**: 57.73 Å³/cell
**DOS at the Fermi energy**: 1.93 states/eV per cell
**ΔE_f (raw)**: 284 meV per atom
**VASP energy**: -4.696 eV/atom

abc: 2.6958 2.6958 9.1728
angles: 90.00 90.00 120.00
Closest atoms and distances in Å follow each position.
Fractional positions:
1 Si 0.0000 0.0000 0.7458  1 Cu 2.33
2 Si 0.0000 0.0000 0.2542  1 Cu 2.33
3 Al 0.6667 0.3333 0.5000  6 Al 2.70, 6 Si 2.74
4 Cu 0.0000 0.0000 0.0000  2 Si 2.33

[4]
# AlCuSi

Crystalline AlCuSi at its relaxed geometry (PBEsol, the Alexandria database).

Computed properties:
**V**: 128.82 Å³/cell
**DOS at the Fermi energy**: 2.96 states/eV per cell
**ΔE_f (raw)**: 109 meV per atom
**VASP energy**: -4.615 eV/atom

abc: 3.4869 6.4640 6.5660
angles: 119.49 90.00 90.00
Closest atoms and distances in Å follow each position.
Fractional positions:
1 Al 0.0000 0.2813 0.7181  2 Cu 2.39, 2 Si 2.54
2 Al 0.0000 0.5632 0.2819  2 Cu 2.39, 2 Si 2.54
3 Al 0.5000 0.1407 0.0000  6 Cu 2.62-2.73, 1 Si 2.72
4 Cu 0.0000 0.2182 0.3277  4 Al 2.39-2.62, 1 Cu 2.42, 2 Si 2.57
5 Cu 0.0000 0.8905 0.6723  4 Al 2.39-2.62, 1 Cu 2.42, 2 Si 2.57
6 Cu 0.0000 0.8167 0.0000  2 Si 2.40, 2 Cu 2.42
7 Si 0.5000 0.5784 0.6287  1 Si 2.49, 4 Cu 2.57-2.77
8 Si 0.5000 0.9497 0.3713  1 Si 2.49, 4 Cu 2.57-2.77
9 Si 0.5000 0.5613 0.0000  2 Cu 2.40, 2 Si 2.49, 4 Al 2.54

[5]
# AlCu2Si

Crystalline AlCu2Si at its relaxed geometry (PBEsol, the Alexandria database).

Computed properties:
**V**: 51.43 Å³/cell
**DOS at the Fermi energy**: 1.24 states/eV per cell
**ΔE_f (raw)**: 6 meV per atom
**VASP energy**: -4.621 eV/atom

abc: 2.6624 2.6624 7.2552
angles: 90.00 90.00 90.00
Closest atoms and distances in Å follow each position.
Fractional positions:
1 Si 0.5000 0.5000 0.0000  8 Cu 2.62, 4 Si 2.66
2 Al 0.5000 0.5000 0.5000  8 Cu 2.61, 4 Al 2.66
3 Cu 0.0000 0.0000 0.7491  4 Al 2.61, 4 Si 2.62, 4 Cu 2.66
4 Cu 0.0000 0.0000 0.2509  4 Al 2.61, 4 Si 2.62, 4 Cu 2.66

[6]
# Al5Cu2Si

Crystalline Al5Cu2Si at its relaxed geometry (PBEsol, the Alexandria database).

Computed properties:
**V**: 114.15 Å³/cell
**DOS at the Fermi energy**: 2.83 states/eV per cell
**ΔE_f (raw)**: -58 meV per atom
**VASP energy**: -4.417 eV/atom

abc: 3.9151 3.9151 7.9452
angles: 104.26 104.26 90.00
Closest atoms and distances in Å follow each position.
Fractional positions:
1 Si 0.0000 0.0000 0.0000  12 Al 2.77-2.83
2 Al 0.5000 0.5000 0.0000  4 Si 2.77, 8 Al 2.83
3 Al 0.1374 0.6374 0.2747  4 Cu 2.57-2.58, 6 Al 2.77-2.83, 2 Si 2.83
4 Al 0.6374 0.1374 0.2747  4 Cu 2.57-2.58, 6 Al 2.77-2.83, 2 Si 2.83
5 Al 0.8626 0.3626 0.7253  4 Cu 2.57-2.58, 6 Al 2.77-2.83, 2 Si 2.83
6 Al 0.3626 0.8626 0.7253  4 Cu 2.57-2.58, 6 Al 2.77-2.83, 2 Si 2.83
7 Cu 0.2504 0.2504 0.5009  8 Al 2.57-2.58, 4 Cu 2.77
8 Cu 0.7496 0.7496 0.4991  8 Al 2.57-2.58, 4 Cu 2.77

[7]
# AlCu2Si3

Crystalline AlCu2Si3 at its relaxed geometry (PBEsol, the Alexandria database).

Computed properties:
**V**: 88.04 Å³/cell
**DOS at the Fermi energy**: 2.19 states/eV per cell
**ΔE_f (raw)**: 258 meV per atom
**VASP energy**: -4.742 eV/atom

abc: 4.0438 5.0141 5.0141
angles: 120.00 90.00 90.00
Closest atoms and distances in Å follow each position.
Fractional positions:
1 Al 0.0000 0.0000 0.0000  6 Cu 2.89, 12 Si 3.22
2 Cu 0.0000 0.6667 0.3333  6 Si 2.49
3 Cu 0.0000 0.3333 0.6667  6 Si 2.49
4 Si 0.5000 0.5000 0.5000  4 Cu 2.49, 4 Si 2.51
5 Si 0.5000 0.0000 0.5000  4 Cu 2.49, 4 Si 2.51
6 Si 0.5000 0.5000 0.0000  4 Cu 2.49, 4 Si 2.51

[8]
# Al2CuSi3

Crystalline Al2CuSi3 at its relaxed geometry (PBEsol, the Alexandria database).

Computed properties:
**V**: 84.86 Å³/cell
**DOS at the Fermi energy**: 2.51 states/eV per cell
**ΔE_f (raw)**: 159 meV per atom
**VASP energy**: -4.801 eV/atom

abc: 4.0224 3.6525 6.1160
angles: 90.00 109.20 90.00
Closest atoms and distances in Å follow each position.
Fractional positions:
1 Si 0.3428 0.0000 0.6855  2 Si 2.58, 2 Cu 2.71, 6 Al 2.72-2.74
2 Si 0.6572 0.0000 0.3145  2 Si 2.58, 2 Cu 2.71, 6 Al 2.72-2.74
3 Si 0.5000 0.5000 0.0000  4 Si 2.58, 4 Cu 2.72, 4 Al 2.78
4 Al 0.1657 0.5000 0.3314  2 Cu 2.65, 8 Si 2.72-2.78, 2 Al 2.80
5 Al 0.8343 0.5000 0.6686  2 Cu 2.65, 8 Si 2.72-2.78, 2 Al 2.80
6 Cu 0.0000 0.0000 0.0000  4 Al 2.65, 8 Si 2.71-2.72

[9]
# AlCuSi

Crystalline AlCuSi at its relaxed geometry (PBEsol, the Alexandria database).

Computed properties:
**V**: 40.61 Å³/cell
**DOS at the Fermi energy**: 1.25 states/eV per cell
**ΔE_f (raw)**: 45 meV per atom
**VASP energy**: -4.679 eV/atom

abc: 2.7078 2.7078 5.8598
angles: 103.36 103.36 90.00
Closest atoms and distances in Å follow each position.
Fractional positions:
1 Si 0.3219 0.3219 0.6439  4 Cu 2.56, 4 Si 2.71, 4 Al 2.83
2 Al 0.0098 0.0098 0.0196  4 Cu 2.60, 4 Al 2.71, 4 Si 2.83
3 Cu 0.6682 0.6682 0.3365  4 Si 2.56, 4 Al 2.60, 4 Cu 2.71

[10]
# AlCu2Si8

Crystalline AlCu2Si8 at its relaxed geometry (PBEsol, the Alexandria database).

Computed properties:
**V**: 158.71 Å³/cell
**DOS at the Fermi energy**: 5.05 states/eV per cell
**ΔE_f (raw)**: 307 meV per atom
**VASP energy**: -5.033 eV/atom

abc: 3.6603 3.6603 11.8465
angles: 90.00 90.00 90.00
Closest atoms and distances in Å follow each position.
Fractional positions:
1 Al 0.0000 0.0000 0.0000  8 Si 2.64
2 Cu 0.0000 0.0000 0.3256  12 Si 2.59-2.76
3 Cu 0.0000 0.0000 0.6744  12 Si 2.59-2.76
4 Si 0.0000 0.5000 0.5000  8 Si 2.59-2.73, 4 Cu 2.76
5 Si 0.5000 0.0000 0.5000  8 Si 2.59-2.73, 4 Cu 2.76
6 Si 0.5000 0.5000 0.3294  4 Cu 2.59, 8 Si 2.71-2.73
7 Si 0.5000 0.5000 0.6706  4 Cu 2.59, 8 Si 2.71-2.73
8 Si 0.0000 0.5000 0.1611  6 Si 2.59-2.71, 2 Al 2.64, 2 Cu 2.67
9 Si 0.5000 0.0000 0.1611  6 Si 2.59-2.71, 2 Al 2.64, 2 Cu 2.67
10 Si 0.0000 0.5000 0.8389  6 Si 2.59-2.71, 2 Al 2.64, 2 Cu 2.67
11 Si 0.5000 0.0000 0.8389  6 Si 2.59-2.71, 2 Al 2.64, 2 Cu 2.67

[11]
# SmAlCu4

Crystalline SmAlCu4 at its relaxed geometry (PBEsol, the Alexandria database).

Computed properties:
**V**: 91.15 Å³/cell
**Formation energy**: -1.379 eV/f.u.
**DOS at the Fermi energy**: 3.62 states/eV per cell
**VASP energy**: -4.650 eV/atom

abc: 3.9810 5.1418 5.1418
angles: 120.00 90.00 90.00
Closest atoms and distances in Å follow each position.
Fractional positions:
1 Sm 0.0000 0.3333 0.6667  3 Al 2.97, 15 Cu 2.97-3.25
2 Al 0.0000 0.0000 0.0000  6 Cu 2.49
3 Cu 0.0000 0.6667 0.3333  6 Cu 2.48
4 Cu 0.5000 0.3358 0.1679  6 Cu 2.48-2.59, 2 Al 2.49
5 Cu 0.5000 0.8321 0.6642  6 Cu 2.48-2.59, 2 Al 2.49
6 Cu 0.5000 0.8321 0.1679  6 Cu 2.48-2.59, 2 Al 2.49

[12]
# SmAl3Cu

Crystalline SmAl3Cu at its relaxed geometry (PBEsol, the Alexandria database).

Computed properties:
**V**: 91.00 Å³/cell
**Formation energy**: -2.326 eV/f.u.
**DOS at the Fermi energy**: 1.49 states/eV per cell
**VASP energy**: -4.805 eV/atom

abc: 4.1537 4.1537 6.0369
angles: 110.12 110.12 90.00
Closest atoms and distances in Å follow each position.
Fractional positions:
1 Sm 0.0065 0.0065 0.0130  12 Al 3.09-3.38, 4 Cu 3.24
2 Cu 0.3771 0.3771 0.7541  5 Al 2.34-2.42
3 Al 0.2589 0.7589 0.5177  2 Cu 2.42, 2 Al 2.68
4 Al 0.7589 0.2589 0.5177  2 Cu 2.42, 2 Al 2.68
5 Al 0.5987 0.5987 0.1974  1 Cu 2.34